1.
Here is a relaxed Ti8Ga2H3 crystal from the Alexandria database. Energies are from PBE.

a b c (Å): 7.1939 7.1939 4.8418
angles (deg): 106.29 106.29 49.90
Last column: nearest neighbours and their distance in Å.
Fractional coordinates of all 13 atoms:
Ti 0.1517 0.1517 0.9161  2 Ga 2.77-2.78, 9 Ti 2.92-3.07, 2 H 3.03
Ti 0.1562 0.7094 0.6567  1 H 1.80
Ti 0.2906 0.8438 0.3433  1 H 1.80
Ti 0.3871 0.3871 0.1120  3 H 1.94-2.00
Ti 0.6129 0.6129 0.8880  3 H 1.94-2.00
Ti 0.7094 0.1562 0.6567  1 H 1.80
Ti 0.8438 0.2906 0.3433  1 H 1.80
Ti 0.8483 0.8483 0.0839  2 Ga 2.77-2.78, 9 Ti 2.92-3.07, 2 H 3.03
Ga 0.2605 0.2605 0.5080  8 Ti 2.72-2.89
Ga 0.7395 0.7395 0.4920  8 Ti 2.72-2.89
H 0.3527 0.6473 0.0000  1 H 1.79, 4 Ti 1.80-1.94
H 0.5000 0.5000 0.5000  6 Ti 2.00-2.14
H 0.6473 0.3527 0.0000  1 H 1.79, 4 Ti 1.80-1.94

Calculated values
Calculated volume: 182.3 Å³/cell
Final energy: -6.219 eV/atom

---

2.
Here is a relaxed Ti3GaH crystal from the Alexandria database. Energies are from PBE.

a b c (Å): 7.0717 7.0717 7.0717
angles (deg): 42.99 42.99 42.99
Last column: nearest neighbours and their distance in Å.
Fractional coordinates of all 10 atoms:
Ti 0.0643 0.3871 0.7234  2 H 2.03-2.09
Ti 0.2766 0.9357 0.6129  2 H 2.03-2.09
Ti 0.3871 0.7234 0.0643  2 H 2.03-2.09
Ti 0.6129 0.2766 0.9357  2 H 2.03-2.09
Ti 0.7234 0.0643 0.3871  2 H 2.03-2.09
Ti 0.9357 0.6129 0.2766  2 H 2.03-2.09
Ga 0.1671 0.1671 0.1671  6 Ti 2.71-2.72, 3 Ga 2.99
Ga 0.8329 0.8329 0.8329  6 Ti 2.71-2.72, 3 Ga 2.99
H 0.3341 0.3341 0.3341  6 Ti 2.03-2.09
H 0.6659 0.6659 0.6659  6 Ti 2.03-2.09

Calculated values
Calculated volume: 149.0 Å³/cell
Final energy: -6.145 eV/atom

---

3.
Here is a relaxed TiGaH3 crystal from the Alexandria database. Energies are from PBE.

a b c (Å): 3.5200 3.5200 3.5200
angles (deg): 90.00 90.00 90.00
Last column: nearest neighbours and their distance in Å.
Fractional coordinates of all 5 atoms:
Ti 0.0000 0.0000 0.0000  12 H 2.49
Ga 0.5000 0.5000 0.5000  6 H 1.76
H 0.0000 0.5000 0.5000  2 Ga 1.76
H 0.5000 0.0000 0.5000  2 Ga 1.76
H 0.5000 0.5000 0.0000  2 Ga 1.76

Calculated values
Calculated volume: 43.6 Å³/cell
Relative energy among the computed polymorphs: 0.4583 eV/atom
Final energy: -3.714 eV/atom

---

4.
Here is a relaxed Ti2GaH2 crystal from the Alexandria database. Energies are from PBE.

a b c (Å): 6.2585 6.2585 2.7114
angles (deg): 90.00 90.00 90.00
Last column: nearest neighbours and their distance in Å.
Fractional coordinates of all 10 atoms:
Ti 0.1540 0.3460 0.0000  4 H 2.15
Ti 0.3460 0.8460 0.0000  4 H 2.15
Ti 0.6540 0.1540 0.0000  4 H 2.15
Ti 0.8460 0.6540 0.0000  4 H 2.15
Ga 0.0000 0.0000 0.5000  4 H 2.54, 2 Ga 2.71, 8 Ti 2.73
Ga 0.5000 0.5000 0.5000  4 H 2.54, 2 Ga 2.71, 8 Ti 2.73
H 0.1099 0.6099 0.5000  1 H 1.95, 4 Ti 2.15
H 0.3901 0.1099 0.5000  1 H 1.95, 4 Ti 2.15
H 0.6099 0.8901 0.5000  1 H 1.95, 4 Ti 2.15
H 0.8901 0.3901 0.5000  1 H 1.95, 4 Ti 2.15

Calculated values
Calculated volume: 106.2 Å³/cell
Relative energy among the computed polymorphs: 0.3904 eV/atom
Final energy: -5.193 eV/atom

---

5.
Here is a relaxed Ti2Ga2H crystal from the Alexandria database. Energies are from PBE.

a b c (Å): 5.5502 5.5502 4.6041
angles (deg): 90.00 90.00 90.00
Last column: nearest neighbours and their distance in Å.
Fractional coordinates of all 10 atoms:
Ti 0.1666 0.3334 0.0000  2 H 2.07
Ti 0.3334 0.8334 0.0000  2 H 2.07
Ti 0.6666 0.1666 0.0000  2 H 2.07
Ti 0.8334 0.6666 0.0000  2 H 2.07
Ga 0.1625 0.6625 0.5000  1 Ga 2.55, 2 Ti 2.66
Ga 0.3375 0.1625 0.5000  1 Ga 2.55, 2 Ti 2.66
Ga 0.6625 0.8375 0.5000  1 Ga 2.55, 2 Ti 2.66
Ga 0.8375 0.3375 0.5000  1 Ga 2.55, 2 Ti 2.66
H 0.0000 0.0000 0.0000  4 Ti 2.07
H 0.5000 0.5000 0.0000  4 Ti 2.07

Calculated values
Calculated volume: 141.8 Å³/cell
Relative energy among the computed polymorphs: 0.0000 eV/atom
Final energy: -5.302 eV/atom

---

6.
Here is a relaxed Ti4Ga2H crystal from the Alexandria database. Energies are from PBE.

a b c (Å): 7.7213 7.7213 7.7213
angles (deg): 151.78 151.78 40.34
Last column: nearest neighbours and their distance in Å.
Fractional coordinates of all 7 atoms:
Ti 0.0000 0.5000 0.5000  2 H 1.88
Ti 0.1786 0.1786 0.0000  1 H 2.59, 5 Ga 2.66-2.73
Ti 0.5000 0.0000 0.5000  2 H 1.88
Ti 0.8214 0.8214 0.0000  1 H 2.59, 5 Ga 2.66-2.73
Ga 0.3619 0.3619 0.0000  9 Ti 2.66-2.75
Ga 0.6381 0.6381 0.0000  9 Ti 2.66-2.75
H 0.0000 0.0000 0.0000  4 Ti 1.88

Calculated values
Calculated volume: 102.7 Å³/cell
Relative energy among the computed polymorphs: 0.0262 eV/atom
Final energy: -6.214 eV/atom

---

Please write out number 1 again, unchanged.
Here is a relaxed Ti8Ga2H3 crystal from the Alexandria database. Energies are from PBE.

a b c (Å): 7.1939 7.1939 4.8418
angles (deg): 106.29 106.29 49.90
Last column: nearest neighbours and their distance in Å.
Fractional coordinates of all 13 atoms:
Ti 0.1517 0.1517 0.9161  2 Ga 2.77-2.78, 9 Ti 2.92-3.07, 2 H 3.03
Ti 0.1562 0.7094 0.6567  1 H 1.80
Ti 0.2906 0.8438 0.3433  1 H 1.80
Ti 0.3871 0.3871 0.1120  3 H 1.94-2.00
Ti 0.6129 0.6129 0.8880  3 H 1.94-2.00
Ti 0.7094 0.1562 0.6567  1 H 1.80
Ti 0.8438 0.2906 0.3433  1 H 1.80
Ti 0.8483 0.8483 0.0839  2 Ga 2.77-2.78, 9 Ti 2.92-3.07, 2 H 3.03
Ga 0.2605 0.2605 0.5080  8 Ti 2.72-2.89
Ga 0.7395 0.7395 0.4920  8 Ti 2.72-2.89
H 0.3527 0.6473 0.0000  1 H 1.79, 4 Ti 1.80-1.94
H 0.5000 0.5000 0.5000  6 Ti 2.00-2.14
H 0.6473 0.3527 0.0000  1 H 1.79, 4 Ti 1.80-1.94

Calculated values
Calculated volume: 182.3 Å³/cell
Final energy: -6.219 eV/atom

---

What is the formula in the fourth record?
Ti2GaH2

---

What is the calculated volume in the sixth record?
102.7 Å³/cell

---

Look up the final energy of the second one.
-6.145 eV/atom